Here is crystalline Ag3Mo at its relaxed geometry from Alexandria via LeMat-Bulk. Energies are from PBE.

Results
As for the crystal system: orthorhombic. The value obtained for the total energy is -4.38 eV per atom. As for the formation energy: 0.46 eV/atom. Its energy above the most stable polymorph in this dataset is 164 meV/atom. Its size of the total moment is 0.00 μB per cell.

abc: 4.728 9.754 6.024
angles: 90.00 90.00 90.00
Sites, in units of the cell vectors:
Ag (0.248, 0.998, 0.377)
Ag (0.748, 0.998, 0.123)
Ag (0.091, 0.750, 0.132)
Ag (0.909, 0.250, 0.868)
Ag (0.752, 0.002, 0.623)
Ag (0.248, 0.502, 0.377)
Ag (0.752, 0.498, 0.623)
Ag (0.252, 0.498, 0.877)
Ag (0.409, 0.250, 0.632)
Ag (0.252, 0.002, 0.877)
Ag (0.748, 0.502, 0.123)
Ag (0.591, 0.750, 0.368)
Mo (0.916, 0.250, 0.351)
Mo (0.084, 0.750, 0.649)
Mo (0.416, 0.250, 0.149)
Mo (0.584, 0.750, 0.851)


Here is crystalline CrPbBr4 at its relaxed geometry from Alexandria via LeMat-Bulk. Energies are from PBE.

Results
As for the crystal system: cubic. The value obtained for the total energy is -2.79 eV per atom. Its energy above the most stable polymorph in this dataset is 1270 meV/atom. Its size of the total moment is 3.98 μB per cell.

abc: 6.377 6.377 6.377
angles: 60.00 60.00 60.00
Last column: magnetic moment on the atom in μB.
Sites, in units of the cell vectors:
Br (0.376, 0.872, 0.376)  -0.29
Br (0.376, 0.376, 0.872)  -0.29
Br (0.872, 0.376, 0.376)  -0.29
Br (0.376, 0.376, 0.376)  -0.29
Cr (0.750, 0.750, 0.750)  4.33
Pb (0.000, 0.000, 0.000)  0.12


Here is crystalline Sr2GaPd4Pb3 at its relaxed geometry from Alexandria via LeMat-Bulk. Energies are from PBE.

Results
As for the crystal system: tetragonal. The value obtained for the total energy is -4.33 eV per atom. As for the formation energy: -0.50 eV/atom. Its size of the total moment is 0.00 μB per cell.

abc: 4.673 4.673 11.201
angles: 90.00 90.00 90.00
Sites, in units of the cell vectors:
Sr (0.500, 0.000, 0.251)
Sr (0.000, 0.500, 0.749)
Pd (0.500, 0.500, 0.000)
Pd (0.000, 0.000, 0.000)
Pd (0.500, 0.000, 0.624)
Pd (0.000, 0.500, 0.376)
Pb (0.500, 0.000, 0.869)
Pb (0.000, 0.500, 0.131)
Pb (0.000, 0.000, 0.500)
Ga (0.500, 0.500, 0.500)


Here is crystalline Na3CaPd3O8 at its relaxed geometry from Alexandria via LeMat-Bulk. Energies are from PBE.

Results
As for the crystal system: monoclinic. The value obtained for the total energy is -5.14 eV per atom. Its size of the total moment is 0.93 μB per cell.

abc: 6.211 6.671 6.239
angles: 115.09 90.00 117.74
Last column: magnetic moment on the atom in μB.
Sites, in units of the cell vectors:
Pd (0.000, 0.500, 0.500)  0.03
Pd (0.500, 0.000, 0.500)  0.35
Pd (0.500, 0.500, 0.500)  0.03
Na (0.000, 0.500, 0.000)  0.00
Na (0.000, 0.000, 0.000)  0.00
Na (0.500, 0.500, 0.000)  0.00
Ca (0.000, 0.000, 0.500)  0.01
O (0.331, 0.105, 0.333)  0.10
O (0.230, 0.460, 0.701)  0.00
O (0.770, 0.540, 0.299)  0.00
O (0.775, 0.105, 0.333)  0.10
O (0.225, 0.895, 0.667)  0.10
O (0.222, 0.443, 0.261)  0.01
O (0.669, 0.895, 0.667)  0.10
O (0.778, 0.557, 0.739)  0.01


Here is crystalline MnTc2TeBr at its relaxed geometry from Alexandria via LeMat-Bulk. Energies are from PBE.

Results
As for the crystal system: tetragonal. The value obtained for the total energy is -5.66 eV per atom. Its size of the total moment is 2.99 μB per cell.

abc: 4.656 4.828 4.656
angles: 90.00 90.00 90.00
Last column: magnetic moment on the atom in μB.
Sites, in units of the cell vectors:
Tc (0.500, 0.000, 0.000)  1.51
Tc (0.000, 0.000, 0.500)  1.52
Te (0.000, 0.500, 0.000)  -0.03
Br (0.500, 0.500, 0.500)  0.06
Mn (0.000, 0.000, 0.000)  -0.42